1.
# Pr2CdCu4Sn3, optimized geometry, DFT PBE
# VASP energy: -4.2816 eV/atom
# Space-group type: P-4m2, No. 115
data_Pr2CdCu4Sn3
_chemical_formula_sum 'Pr2 Cd1 Cu4 Sn3'
_space_group_name_H-M_alt 'P 1'
_space_group_IT_number 1
_cell_length_a 4.433
_cell_length_b 4.433
_cell_length_c 10.847
_cell_angle_alpha 90.00
_cell_angle_beta 90.00
_cell_angle_gamma 90.00
loop_
_space_group_symop_operation_xyz
'x,y,z'
loop_
_atom_site_label
_atom_site_type_symbol
_atom_site_fract_x
_atom_site_fract_y
_atom_site_fract_z
Pr1 Pr 0.000 0.500 0.762
Pr2 Pr 0.500 0.000 0.238
Sn1 Sn 0.000 0.500 0.130
Sn2 Sn 0.500 0.000 0.870
Cu1 Cu 0.000 0.000 0.000
Cd1 Cd 0.500 0.500 0.500
Sn3 Sn 0.000 0.000 0.500
Cu2 Cu 0.500 0.500 0.000
Cu3 Cu 0.000 0.500 0.363
Cu4 Cu 0.500 0.000 0.637

---

2.
# SrPrCdCu, optimized geometry, DFT PBE
# VASP energy: -2.9850 eV/atom
# Space-group type: F-43m, No. 216
data_SrPrCdCu
_chemical_formula_sum 'Sr1 Pr1 Cd1 Cu1'
_space_group_name_H-M_alt 'P 1'
_space_group_IT_number 1
_cell_length_a 5.423
_cell_length_b 5.423
_cell_length_c 5.423
_cell_angle_alpha 60.00
_cell_angle_beta 60.00
_cell_angle_gamma 60.00
loop_
_space_group_symop_operation_xyz
'x,y,z'
loop_
_atom_site_label
_atom_site_type_symbol
_atom_site_fract_x
_atom_site_fract_y
_atom_site_fract_z
Sr1 Sr 0.000 0.000 0.000
Cu1 Cu 0.250 0.250 0.250
Pr1 Pr 0.500 0.500 0.500
Cd1 Cd 0.750 0.750 0.750

---

3.
# PrTlCdCu, optimized geometry, DFT PBE
# VASP energy: -3.1895 eV/atom
# Space-group type: F-43m, No. 216
data_PrTlCdCu
_chemical_formula_sum 'Pr1 Tl1 Cd1 Cu1'
_space_group_name_H-M_alt 'P 1'
_space_group_IT_number 1
_cell_length_a 5.112
_cell_length_b 5.112
_cell_length_c 5.112
_cell_angle_alpha 60.00
_cell_angle_beta 60.00
_cell_angle_gamma 60.00
loop_
_space_group_symop_operation_xyz
'x,y,z'
loop_
_atom_site_label
_atom_site_type_symbol
_atom_site_fract_x
_atom_site_fract_y
_atom_site_fract_z
Pr1 Pr 0.000 0.000 0.000
Tl1 Tl 0.750 0.750 0.750
Cd1 Cd 0.500 0.500 0.500
Cu1 Cu 0.250 0.250 0.250

---

4.
# PrTmCdCu, optimized geometry, DFT PBE
# VASP energy: -3.7598 eV/atom
# Space-group type: F-43m, No. 216
data_PrTmCdCu
_chemical_formula_sum 'Pr1 Tm1 Cd1 Cu1'
_space_group_name_H-M_alt 'P 1'
_space_group_IT_number 1
_cell_length_a 5.196
_cell_length_b 5.196
_cell_length_c 5.196
_cell_angle_alpha 60.00
_cell_angle_beta 60.00
_cell_angle_gamma 60.00
loop_
_space_group_symop_operation_xyz
'x,y,z'
loop_
_atom_site_label
_atom_site_type_symbol
_atom_site_fract_x
_atom_site_fract_y
_atom_site_fract_z
Cu1 Cu 0.250 0.250 0.250
Pr1 Pr 0.000 0.000 0.000
Cd1 Cd 0.750 0.750 0.750
Tm1 Tm 0.500 0.500 0.500

---

5.
# Pr2Zn3CdCu12, optimized geometry, DFT PBE
# VASP energy: -3.2304 eV/atom
# Space-group type: R-3m, No. 166
data_Pr2Zn3CdCu12
_chemical_formula_sum 'Pr2 Zn3 Cd1 Cu12'
_space_group_name_H-M_alt 'P 1'
_space_group_IT_number 1
_cell_length_a 7.454
_cell_length_b 7.454
_cell_length_c 7.454
_cell_angle_alpha 68.23
_cell_angle_beta 68.23
_cell_angle_gamma 68.23
loop_
_space_group_symop_operation_xyz
'x,y,z'
loop_
_atom_site_label
_atom_site_type_symbol
_atom_site_fract_x
_atom_site_fract_y
_atom_site_fract_z
Cu1 Cu 0.149 0.149 0.641
Pr1 Pr 0.599 0.599 0.599
Cu2 Cu 0.634 0.634 0.989
Cd1 Cd 0.000 0.000 0.000
Cu3 Cu 0.366 0.011 0.366
Cu4 Cu 0.366 0.366 0.011
Cu5 Cu 0.359 0.851 0.851
Cu6 Cu 0.851 0.851 0.359
Zn1 Zn 0.500 0.000 0.000
Cu7 Cu 0.989 0.634 0.634
Cu8 Cu 0.641 0.149 0.149
Cu9 Cu 0.149 0.641 0.149
Zn2 Zn 0.000 0.000 0.500
Pr2 Pr 0.401 0.401 0.401
Cu10 Cu 0.011 0.366 0.366
Cu11 Cu 0.634 0.989 0.634
Cu12 Cu 0.851 0.359 0.851
Zn3 Zn 0.000 0.500 0.000

---

6.
# Pr2Zn12CdCu3, optimized geometry, DFT PBE
# VASP energy: -1.8923 eV/atom
# Space-group type: R-3m, No. 166
data_Pr2Zn12CdCu3
_chemical_formula_sum 'Pr2 Zn12 Cd1 Cu3'
_space_group_name_H-M_alt 'P 1'
_space_group_IT_number 1
_cell_length_a 8.739
_cell_length_b 8.739
_cell_length_c 8.739
_cell_angle_alpha 53.85
_cell_angle_beta 53.85
_cell_angle_gamma 53.85
loop_
_space_group_symop_operation_xyz
'x,y,z'
loop_
_atom_site_label
_atom_site_type_symbol
_atom_site_fract_x
_atom_site_fract_y
_atom_site_fract_z
Zn1 Zn 0.355 0.858 0.355
Zn2 Zn 0.645 0.142 0.645
Pr1 Pr 0.609 0.609 0.609
Cu1 Cu 0.500 0.000 0.000
Zn3 Zn 0.845 0.486 0.845
Zn4 Zn 0.155 0.155 0.514
Cu2 Cu 0.000 0.000 0.500
Zn5 Zn 0.486 0.845 0.845
Zn6 Zn 0.845 0.845 0.486
Zn7 Zn 0.355 0.355 0.858
Zn8 Zn 0.514 0.155 0.155
Zn9 Zn 0.142 0.645 0.645
Cd1 Cd 0.000 0.000 0.000
Zn10 Zn 0.645 0.645 0.142
Zn11 Zn 0.858 0.355 0.355
Pr2 Pr 0.391 0.391 0.391
Zn12 Zn 0.155 0.514 0.155
Cu3 Cu 0.000 0.500 0.000

---

7.
# CdCu2Pt5, optimized geometry, DFT PBE
# VASP energy: -5.0655 eV/atom
# Space-group type: Pbam, No. 55
data_CdCu2Pt5
_chemical_formula_sum 'Cd2 Cu4 Pt10'
_space_group_name_H-M_alt 'P 1'
_space_group_IT_number 1
_cell_length_a 3.939
_cell_length_b 5.590
_cell_length_c 11.142
_cell_angle_alpha 90.00
_cell_angle_beta 90.00
_cell_angle_gamma 90.00
loop_
_space_group_symop_operation_xyz
'x,y,z'
loop_
_atom_site_label
_atom_site_type_symbol
_atom_site_fract_x
_atom_site_fract_y
_atom_site_fract_z
Pt1 Pt 0.000 0.491 0.749
Pt2 Pt 0.500 0.244 0.872
Pt3 Pt 0.500 0.256 0.372
Cu1 Cu 0.500 0.253 0.628
Cd1 Cd 0.000 0.500 0.000
Cd2 Cd 0.000 0.000 0.500
Pt4 Pt 0.000 0.009 0.249
Pt5 Pt 0.000 0.509 0.251
Pt6 Pt 0.000 0.500 0.500
Cu2 Cu 0.500 0.753 0.872
Pt7 Pt 0.000 0.991 0.751
Cu3 Cu 0.500 0.747 0.372
Cu4 Cu 0.500 0.247 0.128
Pt8 Pt 0.500 0.756 0.128
Pt9 Pt 0.000 0.000 0.000
Pt10 Pt 0.500 0.744 0.628

---

8.
# CdCuPt6, optimized geometry, DFT PBE
# VASP energy: -5.2978 eV/atom
# Space-group type: P4/mmm, No. 123
data_CdCuPt6
_chemical_formula_sum 'Cd1 Cu1 Pt6'
_space_group_name_H-M_alt 'P 1'
_space_group_IT_number 1
_cell_length_a 3.975
_cell_length_b 3.975
_cell_length_c 7.956
_cell_angle_alpha 90.00
_cell_angle_beta 90.00
_cell_angle_gamma 90.00
loop_
_space_group_symop_operation_xyz
'x,y,z'
loop_
_atom_site_label
_atom_site_type_symbol
_atom_site_fract_x
_atom_site_fract_y
_atom_site_fract_z
Pt1 Pt 0.500 0.500 0.500
Cd1 Cd 0.000 0.000 0.000
Pt2 Pt 0.500 0.500 0.000
Cu1 Cu 0.000 0.000 0.500
Pt3 Pt 0.500 0.000 0.262
Pt4 Pt 0.500 0.000 0.738
Pt5 Pt 0.000 0.500 0.262
Pt6 Pt 0.000 0.500 0.738

---

9.
# Cd2CuPt6, optimized geometry, DFT PBE
# VASP energy: -4.7899 eV/atom
# Space-group type: Amm2, No. 38
data_Cd2CuPt6
_chemical_formula_sum 'Cd2 Cu1 Pt6'
_space_group_name_H-M_alt 'P 1'
_space_group_IT_number 1
_cell_length_a 2.799
_cell_length_b 7.755
_cell_length_c 7.768
_cell_angle_alpha 119.94
_cell_angle_beta 90.00
_cell_angle_gamma 90.00
loop_
_space_group_symop_operation_xyz
'x,y,z'
loop_
_atom_site_label
_atom_site_type_symbol
_atom_site_fract_x
_atom_site_fract_y
_atom_site_fract_z
Cu1 Cu 0.500 0.001 0.000
Pt1 Pt 0.000 0.999 0.286
Pt2 Pt 0.500 0.352 0.352
Cd1 Cd 0.000 0.332 0.665
Pt3 Pt 0.500 0.645 0.000
Pt4 Pt 0.000 0.713 0.714
Pt5 Pt 0.000 0.290 0.000
Cd2 Cd 0.000 0.667 0.335
Pt6 Pt 0.500 0.000 0.648

---

10.
# Cd2CuPt, optimized geometry, DFT PBE
# VASP energy: -3.1388 eV/atom
# Space-group type: I4/mmm, No. 139
data_Cd2CuPt
_chemical_formula_sum 'Cd2 Cu1 Pt1'
_space_group_name_H-M_alt 'P 1'
_space_group_IT_number 1
_cell_length_a 4.888
_cell_length_b 4.888
_cell_length_c 4.888
_cell_angle_alpha 129.08
_cell_angle_beta 129.09
_cell_angle_gamma 74.88
loop_
_space_group_symop_operation_xyz
'x,y,z'
loop_
_atom_site_label
_atom_site_type_symbol
_atom_site_fract_x
_atom_site_fract_y
_atom_site_fract_z
Cd1 Cd 0.500 0.500 0.000
Pt1 Pt 0.750 0.250 0.500
Cu1 Cu 0.250 0.750 0.500
Cd2 Cd 0.000 0.000 0.000

---

11.
# Cd2CuPt9, optimized geometry, DFT PBE
# VASP energy: -5.1800 eV/atom
# Space-group type: P4/mmm, No. 123
data_Cd2CuPt9
_chemical_formula_sum 'Cd2 Cu1 Pt9'
_space_group_name_H-M_alt 'P 1'
_space_group_IT_number 1
_cell_length_a 3.998
_cell_length_b 3.998
_cell_length_c 12.012
_cell_angle_alpha 90.00
_cell_angle_beta 90.00
_cell_angle_gamma 90.00
loop_
_space_group_symop_operation_xyz
'x,y,z'
loop_
_atom_site_label
_atom_site_type_symbol
_atom_site_fract_x
_atom_site_fract_y
_atom_site_fract_z
Pt1 Pt 0.500 0.500 0.329
Pt2 Pt 0.500 0.000 0.157
Pt3 Pt 0.500 0.500 0.000
Pt4 Pt 0.500 0.000 0.843
Cu1 Cu 0.000 0.000 0.000
Pt5 Pt 0.000 0.500 0.500
Pt6 Pt 0.000 0.500 0.157
Cd1 Cd 0.000 0.000 0.329
Pt7 Pt 0.000 0.500 0.843
Cd2 Cd 0.000 0.000 0.671
Pt8 Pt 0.500 0.500 0.671
Pt9 Pt 0.500 0.000 0.500

---

12.
# Cd4CuPt, optimized geometry, DFT PBE
# Space-group type: I422, No. 97
# Energy above the lowest structure with this stoichiometry: 0.000 eV per atom
data_Cd4CuPt
_chemical_formula_sum 'Cd4 Cu1 Pt1'
_space_group_name_H-M_alt 'P 1'
_space_group_IT_number 1
_cell_length_a 5.411
_cell_length_b 5.411
_cell_length_c 5.411
_cell_angle_alpha 104.04
_cell_angle_beta 104.04
_cell_angle_gamma 120.99
loop_
_space_group_symop_operation_xyz
'x,y,z'
loop_
_atom_site_label
_atom_site_type_symbol
_atom_site_fract_x
_atom_site_fract_y
_atom_site_fract_z
Pt1 Pt 0.500 0.500 0.000
Cu1 Cu 0.000 0.000 0.000
Cd1 Cd 0.586 0.086 0.172
Cd2 Cd 0.414 0.586 0.500
Cd3 Cd 0.914 0.414 0.828
Cd4 Cd 0.086 0.914 0.500

---

Calculated values (μB/cell) of total moment for the records, taken in order: 0.00 0.00 0.00 0.00 0.00 0.00 0.00 0.00 0.00 0.00 0.00 0.00.